1.
## Zn2InW (GGA-PBE)

Data for a geometry-optimized Zn2InW structure.

a = 3.8340 Å, b = 3.8340 Å, c = 9.0092 Å
α = 90.00°, β = 90.00°, γ = 90.00°
Space group I-4m2 (No. 119)
Unique sites:
1 Zn 0.0000 0.0000 0.0000 [2 per cell]
2 Zn 0.0000 0.5000 0.2500 [2 per cell]
3 In 0.0000 0.5000 0.7500 [2 per cell]
4 W 0.0000 0.0000 0.5000 [2 per cell]

Results
The value obtained for the density is 10.77 g/cm3. As for the energy relative to the elements: 0.37 eV per atom.

=====

2.
## Zn2InW (GGA-PBE)

Data for a geometry-optimized Zn2InW structure.

a = 2.8505 Å, b = 4.7384 Å, c = 5.0393 Å
α = 90.00°, β = 90.00°, γ = 90.00°
Space group Pmm2 (No. 25)
Unique sites:
1 Zn 0.0000 0.0000 0.0000 [1 per cell]
2 Zn 0.5000 0.5000 0.1641 [1 per cell]
3 In 0.0000 0.5000 0.6551 [1 per cell]
4 W 0.5000 0.0000 0.4746 [1 per cell]

Results
The value obtained for the density is 10.48 g/cm3. As for the energy relative to the elements: 0.38 eV per atom.

=====

3.
## Zn2InW (GGA-PBE)

Data for a geometry-optimized Zn2InW structure.

a = 2.8147 Å, b = 4.5401 Å, c = 5.3405 Å
α = 90.00°, β = 91.13°, γ = 90.00°
Space group P2/m (No. 10)
Unique sites:
1 Zn 0.0493 0.0000 0.2800 [2 per cell]
2 In 0.0000 0.5000 0.0000 [1 per cell]
3 W 0.5000 0.5000 0.5000 [1 per cell]

Results
The value obtained for the density is 10.45 g/cm3. As for the energy relative to the elements: 0.39 eV per atom.

=====

4.
## Zn2InW (GGA-PBE)

Data for a geometry-optimized Zn2InW structure.

a = 5.7930 Å, b = 9.5247 Å, c = 2.8633 Å
α = 90.00°, β = 119.46°, γ = 90.00°
Space group C2/m (No. 12)
Unique sites:
1 Zn 0.2500 0.2500 0.0000 [4 per cell]
2 In 0.0000 0.0000 0.0000 [2 per cell]
3 W 0.0000 0.5000 0.0000 [2 per cell]

Results
The value obtained for the density is 10.37 g/cm3. As for the energy relative to the elements: 0.37 eV per atom.

=====

5.
## Zn2InW (GGA-PBE)

Data for a geometry-optimized Zn2InW structure.

a = 2.8225 Å, b = 2.8225 Å, c = 8.8610 Å
α = 90.00°, β = 90.00°, γ = 90.00°
Space group P4/mmm (No. 123)
Unique sites:
1 Zn 0.0000 0.0000 0.2210 [2 per cell]
2 In 0.5000 0.5000 0.5000 [1 per cell]
3 W 0.5000 0.5000 0.0000 [1 per cell]

Results
The value obtained for the density is 10.10 g/cm3. As for the energy relative to the elements: 0.34 eV per atom.

=====

6.
## Zn2InW (GGA-PBE)

Data for a geometry-optimized Zn2InW structure.

a = 4.1069 Å, b = 4.1069 Å, c = 3.8896 Å
α = 90.00°, β = 90.00°, γ = 90.00°
Space group P4/mmm (No. 123)
Unique sites:
1 Zn 0.0000 0.5000 0.0000 [2 per cell]
2 In 0.0000 0.0000 0.5000 [1 per cell]
3 W 0.5000 0.5000 0.5000 [1 per cell]

Results
The value obtained for the density is 10.87 g/cm3. As for the energy relative to the elements: 0.39 eV per atom.

=====

Question: What is the formula in the third record?
Answer: Zn2InW